This record from Alexandria via LeMat-Bulk describes CaPmNd4S8 after structural relaxation. The functional is PBE.

Results
M_tot: 0.0 Bohr magnetons per cell
raw formation energy: -1968 meV/atom
ρ: 4.13 g/cm3
DOS at the Fermi energy: 10.45 states/eV per cell

Unit cell a=8.3438 b=8.3438 c=20.3952 alpha=90.00 beta=90.00 gamma=120.00
Space group R3m (No. 160, hexagonal axes)
Symmetry-distinct sites (fractional):
Ca (0.0000, 0.0000, 0.0000) (multiplicity 3)
Pm (0.0000, 0.0000, 0.6270) (multiplicity 3)
Nd (0.0000, 0.0000, 0.2497) (multiplicity 3)
Nd (0.1691, 0.3382, 0.4577) (multiplicity 9)
S (0.0000, 0.0000, 0.3830) (multiplicity 3)
S (0.0000, 0.0000, 0.8666) (multiplicity 3)
S (0.0234, 0.5117, 0.3772) (multiplicity 9)
S (0.1783, 0.3567, 0.2062) (multiplicity 9)